Entry 1:
Entry from Alexandria: AlPbSeBr2 after structural relaxation (PBE-GGA).

Cell: 5.8338 5.8338 5.4505 Å, 90.00 90.00 90.00°
Closest atoms and distances in Å follow each position.
Positions (direct):
Se1 0.0000 0.0000 0.5000  2 Pb 2.73
Pb1 0.0000 0.0000 0.0000  2 Se 2.73, 4 Br 2.92
Br1 0.5000 0.0000 0.0000  2 Pb 2.92
Br2 0.0000 0.5000 0.0000  2 Pb 2.92
Al1 0.5000 0.5000 0.5000  8 Br 3.99, 4 Se 4.13

Results
Crystal system   tetragonal

Entry 2:
Entry from Alexandria: Al3PdBr after structural relaxation (PBE-GGA).

Cell: 4.8438 4.8438 4.8438 Å, 90.00 90.00 90.00°
Closest atoms and distances in Å follow each position.
Positions (direct):
Al1 0.0000 0.5000 0.0000  2 Pd 2.42
Al2 0.0000 0.0000 0.5000  2 Pd 2.42
Al3 0.5000 0.0000 0.0000  2 Pd 2.42
Br1 0.5000 0.5000 0.5000  12 Al 3.43
Pd1 0.0000 0.0000 0.0000  6 Al 2.42

Results
Crystal system   cubic

| no. | density (Mg/m³) | formation energy without anion corrections (eV per atom) |
| --- | --- | --- |
| 1 | 4.23 | -0.05 |
| 2 | 3.91 | -0.31 |